Tl2Fe3CoF12 after structural relaxation, computed with PBE+U.

Crystal system = trigonal
Energy = -4.921 eV per atom

abc: 7.337 7.337 7.337
angles: 60.87 60.87 60.87
Atoms (fractional coordinates):
Tl 0.149 0.149 0.149
Tl 0.851 0.851 0.851
Fe 0.000 0.500 0.500
Fe 0.500 0.000 0.500
Fe 0.500 0.500 0.000
Co 0.500 0.500 0.500
F 0.176 0.176 0.563
F 0.176 0.563 0.176
F 0.188 0.567 0.567
F 0.433 0.433 0.812
F 0.433 0.812 0.433
F 0.437 0.824 0.824
F 0.563 0.176 0.176
F 0.567 0.188 0.567
F 0.567 0.567 0.188
F 0.812 0.433 0.433
F 0.824 0.437 0.824
F 0.824 0.824 0.437